This record from the Alexandria database describes a relaxed EuH2Pt crystal. The functional is PBE-GGA.

a = 4.6164 Å, b = 4.6164 Å, c = 4.6164 Å
α = 55.03°, β = 55.03°, γ = 55.03°
Fractional positions:
Eu  0.0000  0.0000  0.0000
H  0.3582  0.3582  0.3582
H  0.6418  0.6418  0.6418
Pt  0.5000  0.5000  0.5000

magnetic moment	1.735	μB/atom
total energy	-6.370	eV per atom

=====

This record from the Alexandria database describes a relaxed La2ScP crystal. The functional is PBE-GGA.

a = 5.8223 Å, b = 5.8223 Å, c = 5.8223 Å
α = 133.43°, β = 133.43°, γ = 67.99°
Fractional positions:
La  0.2500  0.7500  0.5000
La  0.7500  0.2500  0.5000
Sc  0.0000  0.0000  0.0000
P  0.5000  0.5000  0.0000

formation enthalpy at 0 K	-1.13	eV per formula unit
magnetic moment	0.043	μB/atom

=====

This record from the Alexandria database describes a relaxed Li2Tl3ReS6 crystal. The functional is PBE-GGA.

a = 6.6412 Å, b = 6.6412 Å, c = 7.1068 Å
α = 99.07°, β = 99.07°, γ = 120.47°
Fractional positions:
Li  0.1631  0.8369  0.0000
Li  0.8369  0.1631  0.0000
Tl  0.0000  0.0000  0.5000
Tl  0.3349  0.6651  0.5000
Tl  0.6651  0.3349  0.5000
Re  0.5000  0.5000  0.0000
S  0.1359  0.4287  0.7985
S  0.2678  0.2678  0.2022
S  0.4287  0.1359  0.7985
S  0.5713  0.8641  0.2015
S  0.7322  0.7322  0.7978
S  0.8641  0.5713  0.2015

magnetic moment	0.000	μB/atom
energy relative to the elements, uncorrected	-469.1	meV/atom

=====

This record from the Alexandria database describes a relaxed SrAg2Br6 crystal. The functional is PBE-GGA.

a = 10.0554 Å, b = 10.0554 Å, c = 7.2711 Å
α = 108.79°, β = 108.79°, γ = 85.41°
Fractional positions:
Sr  0.1128  0.8872  0.7500
Sr  0.8872  0.1128  0.2500
Ag  0.2216  0.3964  0.7640
Ag  0.3964  0.2216  0.2640
Ag  0.6036  0.7784  0.7360
Ag  0.7784  0.6036  0.2360
Br  0.0440  0.1942  0.7152
Br  0.0579  0.6086  0.7948
Br  0.1942  0.0440  0.2152
Br  0.3385  0.4486  0.5233
Br  0.3914  0.9421  0.7052
Br  0.4486  0.3385  0.0233
Br  0.5514  0.6615  0.9767
Br  0.6086  0.0579  0.2948
Br  0.6615  0.5514  0.4767
Br  0.8058  0.9560  0.7848
Br  0.9421  0.3914  0.2052
Br  0.9560  0.8058  0.2848

magnetic moment	0.000	μB/atom
energy relative to the elements, uncorrected	-735.8	meV/atom
distance to the lowest polymorph of the same formula	0.024	eV/atom